VASP calculation (GGA-PBEsol) on an optimized crystal structure of Tc2GeOsCl.

Unit cell a=4.618 b=4.618 c=4.460 alpha=90.00 beta=90.00 gamma=90.00
Element x y z (fractional)
1 Tc 0.000 0.500 0.000
2 Tc 0.500 0.000 0.000
3 Ge 0.000 0.000 0.000
4 Os 0.500 0.500 0.500
5 Cl 0.000 0.000 0.500

Calculated values
* formation energy (no corrections): 2.22 eV per atom


VASP calculation (GGA-PBEsol) on an optimized crystal structure of MgTe2Au.

Unit cell a=3.866 b=3.866 c=6.232 alpha=90.00 beta=90.00 gamma=90.00
Element x y z (fractional)
1 Mg 0.000 0.000 0.000
2 Te 0.500 0.500 0.250
3 Te 0.500 0.500 0.750
4 Au 0.000 0.000 0.500

Calculated values
* formation energy (no corrections): -0.04 eV per atom


VASP calculation (GGA-PBEsol) on an optimized crystal structure of PPtBr2.

Unit cell a=2.925 b=2.925 c=10.620 alpha=90.00 beta=90.00 gamma=90.00
Element x y z (fractional)
1 P 0.000 0.000 0.000
2 Pt 0.500 0.500 0.114
3 Br 0.000 0.000 0.382
4 Br 0.500 0.500 0.709

Calculated values
* formation energy (no corrections): 0.15 eV per atom


VASP calculation (GGA-PBEsol) on an optimized crystal structure of SrNbCu3.

Unit cell a=4.819 b=4.819 c=4.819 alpha=90.00 beta=90.00 gamma=90.00
Element x y z (fractional)
1 Sr 0.000 0.000 0.000
2 Nb 0.500 0.500 0.500
3 Cu 0.000 0.500 0.500
4 Cu 0.500 0.000 0.500
5 Cu 0.500 0.500 0.000

Calculated values
* energy relative to the elements: 771 meV/atom


no.,final energy (eV per atom)
1,-6.118
2,-3.215
3,-3.971
4,-4.362